Compound: HfIrN2O
Source: the Alexandria database
Functional: PBEsol
Structure: relaxed

Calculated values
total energy: -39.86 eV for the cell shown
E_form (uncorrected): 0.5543 eV/atom

Unit cell a=4.135 b=4.135 c=3.891 alpha=90.00 beta=90.00 gamma=90.00
Space group P4/mmm (No. 123)
Asymmetric unit:
Hf  0.000  0.000  0.000 [1 per cell]
Ir  0.500  0.500  0.500 [1 per cell]
N  0.000  0.500  0.000 [2 per cell]
O  0.000  0.000  0.500 [1 per cell]